Entry 1:
A plane-wave DFT calculation with PBE was carried out for a relaxed structure of Pm2ThH8.

Values from the calculation:
Its calculated total energy is -4.530 eV/atom. Its space-group type is Immm.

Structure (POSCAR):
```
Pm2ThH8
1.0
-1.820 -1.718 2.716
2.249 -4.995 -1.652
4.101 4.172 2.876
Pm Th H
2 1 8
Direct
0.832 0.332 0.664
0.168 0.668 0.336
0.500 0.000 0.000
0.337 0.094 0.674
0.000 0.266 0.000
0.848 0.848 0.696
0.663 0.906 0.326
0.663 0.419 0.326
0.152 0.152 0.304
0.000 0.734 0.000
0.337 0.581 0.674
```

Entry 2:
A plane-wave DFT calculation with PBE was carried out for a relaxed structure of NaHfSc.

Values from the calculation:
As for the relative energy among the computed polymorphs: 0.114 eV per atom. Its space-group type is Cm. The value obtained for the formation energy is 0.274 eV/atom.

Structure (POSCAR):
```
NaHfSc
1.0
-12.635 1.298 -11.952
-1.092 -0.190 -5.455
1.659 -2.770 4.534
Na Sc Hf
2 2 2
Direct
0.342 0.011 0.989
0.169 0.519 0.481
0.546 0.461 0.539
0.829 0.529 0.471
0.963 0.073 0.927
0.697 0.979 0.021
```

Entry 3:
A plane-wave DFT calculation with PBE was carried out for a relaxed structure of CePmTmIn.

Values from the calculation:
Its space-group type is F-43m. The value obtained for the formation energy is -0.072 eV/atom.

Structure (POSCAR):
```
CePmTmIn
1.0
-1.307 -4.888 1.940
3.304 -2.502 3.491
-1.459 -0.554 5.189
Tm Ce In Pm
1 1 1 1
Direct
0.500 0.500 0.500
0.750 0.750 0.750
0.250 0.250 0.250
0.000 0.000 0.000
```

Entry 4:
A plane-wave DFT calculation with PBE was carried out for a relaxed structure of TbCeSm4S8.

Values from the calculation:
The uncorrected formation energy is -1.908 eV/atom. Its space-group type is R3m.

Structure (POSCAR):
```
TbCeSm4S8
1.0
-2.311 -2.836 7.399
5.401 -0.131 6.241
-0.873 5.194 6.322
Tb S Sm Ce
1 8 4 1
Direct
0.000 0.000 0.999
0.761 0.226 0.253
0.241 0.241 0.278
0.237 0.237 0.745
0.757 0.757 0.729
0.237 0.781 0.745
0.781 0.237 0.745
0.761 0.761 0.253
0.226 0.761 0.253
0.624 0.624 0.127
0.000 0.000 0.500
0.500 0.000 0.500
0.000 0.500 0.500
0.376 0.376 0.873
```